## BaPICl2 (PBE-GGA)

Data for an optimized crystal structure of BaPICl2.

Results
symmetry = P4/mmm (123)
formation energy from raw total energies = -448 meV/atom
total magnetic moment = 0.403 μB/atom

a = 5.774 Å, b = 5.774 Å, c = 10.083 Å
α = 90.00°, β = 90.00°, γ = 90.00°
Site moments in Bohr magnetons follow the coordinates.
Fractional positions:
I  0.500  0.500  0.500  -0.29
P  0.000  0.000  0.500  1.06
Ba  0.000  0.000  0.000  0.00
Cl  0.000  0.500  0.000  0.00
Cl  0.500  0.000  0.000  0.00